Record 1
## CrNiPt2 (PBEsol)

Data for a geometry-optimized CrNiPt2 structure.

Geometry as POSCAR:
```
CrNiPt2
1.0
2.657 0.000 0.000
0.000 3.660 0.000
0.000 0.000 5.324
Cr Ni Pt
1 1 2
direct
0.000 0.000 0.000
0.000 0.000 0.500
0.500 0.500 0.249
0.500 0.500 0.751
```

- D(E_F): 1.01 states/eV per atom
- Crystal system: orthorhombic
- Symmetry: Pmmm, No. 47
- DFT total energy: -7.768 eV per atom
- ΔH_f (0 K): -0.19 eV/atom

---

Record 2
## CrNiPt2 (PBEsol)

Data for a geometry-optimized CrNiPt2 structure.

Geometry as POSCAR:
```
CrNiPt2
1.0
2.658 0.000 0.000
0.000 3.676 0.000
0.000 0.000 5.329
Cr Ni Pt
1 1 2
direct
0.000 0.000 0.000
0.500 0.500 0.230
0.000 0.000 0.467
0.500 0.500 0.761
```

- D(E_F): 1.08 states/eV per atom
- Crystal system: orthorhombic
- Symmetry: Pmm2, No. 25
- DFT total energy: -7.692 eV per atom
- ΔH_f (0 K): -0.11 eV/atom

---

Record 3
## CrNiPt2 (PBEsol)

Data for a geometry-optimized CrNiPt2 structure.

Geometry as POSCAR:
```
CrNiPt2
1.0
2.677 -3.658 0.000
2.677 3.658 0.000
0.000 0.000 2.709
Cr Ni Pt
1 1 2
direct
0.000 0.000 0.000
0.500 0.500 0.000
0.000 0.500 0.500
0.500 0.000 0.500
```

- D(E_F): 1.39 states/eV per atom
- Crystal system: orthorhombic
- Symmetry: Cmmm, No. 65
- DFT total energy: -7.691 eV per atom
- ΔH_f (0 K): -0.11 eV/atom

---

Record 4
## CrSiNi2Pt (PBEsol)

Data for a geometry-optimized CrSiNi2Pt structure.

Geometry as POSCAR:
```
CrSiNi2Pt
1.0
4.076 0.000 0.000
0.000 4.076 0.000
0.000 0.000 4.331
Cr Si Ni Pt
1 1 2 1
direct
0.000 0.000 0.000
0.000 0.000 0.500
0.000 0.500 0.500
0.500 0.000 0.500
0.500 0.500 0.000
```

- D(E_F): 1.16 states/eV per atom
- Energy relative to the elements, uncorrected: 0.66 eV/atom
- Crystal system: tetragonal
- Symmetry: P4/mmm, No. 123
- DFT total energy: -6.389 eV per atom

---

Record 5
## RbCrNi2Rh (PBEsol)

Data for a geometry-optimized RbCrNi2Rh structure.

Geometry as POSCAR:
```
RbCrNi2Rh
1.0
4.458 0.000 0.000
0.000 4.458 0.000
0.000 0.000 4.746
Rb Cr Ni Rh
1 1 2 1
direct
0.000 0.000 0.000
0.500 0.500 0.500
0.000 0.500 0.000
0.500 0.000 0.000
0.000 0.000 0.500
```

- D(E_F): 1.09 states/eV per atom
- Crystal system: tetragonal
- Symmetry: P4/mmm, No. 123
- DFT total energy: -3.936 eV per atom
- ΔH_f (0 K): 2.41 eV/atom

---

Record 6
## CrRe2Ni (PBEsol)

Data for a geometry-optimized CrRe2Ni structure.

Geometry as POSCAR:
```
CrRe2Ni
1.0
4.272 -1.329 0.000
4.272 1.329 0.000
-0.794 0.000 4.570
Cr Re Ni
1 2 1
direct
0.000 0.000 0.000
0.249 0.249 0.748
0.751 0.751 0.252
0.500 0.500 0.500
```

- D(E_F): 1.14 states/eV per atom
- Crystal system: monoclinic
- Symmetry: C2/m, No. 12
- DFT total energy: -10.620 eV per atom
- Distance to the lowest polymorph of the same formula: 127 meV per atom
- ΔH_f (0 K): 0.15 eV/atom

---

Record 7
## CrRe2Ni (PBEsol)

Data for a geometry-optimized CrRe2Ni structure.

Geometry as POSCAR:
```
CrRe2Ni
1.0
0.000 2.943 2.943
2.943 0.000 2.943
2.943 2.943 0.000
Cr Re Ni
1 2 1
direct
0.000 0.000 0.000
0.250 0.250 0.250
0.750 0.750 0.750
0.500 0.500 0.500
```

- D(E_F): 1.22 states/eV per atom
- Crystal system: cubic
- Symmetry: Fm-3m, No. 225
- DFT total energy: -10.559 eV per atom
- Distance to the lowest polymorph of the same formula: 187 meV per atom
- ΔH_f (0 K): 0.21 eV/atom

---

Record 8
## CrRe2Ni (PBEsol)

Data for a geometry-optimized CrRe2Ni structure.

Geometry as POSCAR:
```
CrRe2Ni
1.0
3.737 0.000 0.000
0.000 3.737 0.000
0.000 0.000 3.640
Cr Re Ni
1 2 1
direct
0.000 0.000 0.000
0.000 0.500 0.500
0.500 0.000 0.500
0.500 0.500 0.000
```

- D(E_F): 0.80 states/eV per atom
- Crystal system: tetragonal
- Symmetry: P4/mmm, No. 123
- DFT total energy: -10.746 eV per atom
- Distance to the lowest polymorph of the same formula: 0 meV per atom
- ΔH_f (0 K): 0.02 eV/atom